Below is a relaxed structure of FeP2RhS, with properties calculated at the PBE level.

a b c (Å): 4.1714 4.1714 4.5864
angles (deg): 90.00 90.00 90.00
With the nearest neighbours (Å) after each atom.
Sites, in units of the cell vectors:
P (0.0000, 0.5000, 0.0000)  2 Fe 2.09
S (0.0000, 0.0000, 0.5000)  2 Fe 2.29
P (0.5000, 0.0000, 0.0000)  2 Fe 2.09
Fe (0.0000, 0.0000, 0.0000)  4 P 2.09, 2 S 2.29
Rh (0.5000, 0.5000, 0.5000)  4 S 2.95, 8 P 3.10

Values from the calculation:
Excess energy over the best structure of this formula in the dataset (meV per atom): 0
Spin magnetization (μB per formula unit): 0.04
Uncorrected formation energy (eV/atom): 0.591

---

Below is a relaxed structure of Nb4PC, with properties calculated at the PBE level.

a b c (Å): 6.0353 5.5929 5.7428
angles (deg): 90.00 101.41 90.00
With the nearest neighbours (Å) after each atom.
Sites, in units of the cell vectors:
Nb (0.6228, 0.1388, 0.8469)  1 C 2.13, 1 P 2.38
Nb (0.1963, 0.8372, 0.6062)  2 C 2.24-2.25
P (0.0000, 0.0000, 0.0000)  4 Nb 2.38-2.40
Nb (0.8772, 0.6388, 0.1531)  1 C 2.13, 1 P 2.38
Nb (0.1228, 0.3612, 0.8469)  1 C 2.13, 1 P 2.38
C (0.5000, 0.0000, 0.5000)  6 Nb 2.13-2.25
Nb (0.6963, 0.6628, 0.6062)  2 C 2.24-2.25
C (0.0000, 0.5000, 0.5000)  6 Nb 2.13-2.25
P (0.5000, 0.5000, 0.0000)  4 Nb 2.38-2.40
Nb (0.3037, 0.3372, 0.3938)  2 C 2.24-2.25
Nb (0.3772, 0.8612, 0.1531)  1 C 2.13, 1 P 2.38
Nb (0.8037, 0.1628, 0.3938)  2 C 2.24-2.25

Values from the calculation:
Spin magnetization (μB per formula unit): 0.00
Energy relative to the elements (eV per formula unit): -2.3

---

Below is a relaxed structure of KCr4Cd, with properties calculated at the PBE level.

a b c (Å): 5.2131 5.2131 5.2131
angles (deg): 60.00 60.00 60.00
With the nearest neighbours (Å) after each atom.
Sites, in units of the cell vectors:
Cd (0.0000, 0.0000, 0.0000)  12 Cr 3.09, 4 K 3.19
Cr (0.3874, 0.8379, 0.3874)  3 Cr 2.35
Cr (0.8379, 0.3874, 0.3874)  3 Cr 2.35
Cr (0.3874, 0.3874, 0.8379)  3 Cr 2.35
Cr (0.3874, 0.3874, 0.3874)  3 Cr 2.35
K (0.7500, 0.7500, 0.7500)  12 Cr 3.03, 4 Cd 3.19

Values from the calculation:
Spin magnetization (μB per formula unit): 0.00
Energy relative to the elements (eV per formula unit): 7.0

---

Below is a relaxed structure of Na2SnAsP, with properties calculated at the PBE level.

a b c (Å): 5.3179 4.7925 5.3179
angles (deg): 90.00 90.00 90.00
With the nearest neighbours (Å) after each atom.
Sites, in units of the cell vectors:
Sn (0.5000, 0.5000, 0.5000)  8 Na 3.58, 4 As 3.76
Na (0.0000, 0.0000, 0.5000)  2 P 2.66
P (0.0000, 0.0000, 0.0000)  2 As 2.40, 4 Na 2.66
As (0.0000, 0.5000, 0.0000)  2 P 2.40
Na (0.5000, 0.0000, 0.0000)  2 P 2.66

Values from the calculation:
Spin magnetization (μB per formula unit): 0.00
Energy relative to the elements (eV per formula unit): 0.9

---

Below is a relaxed structure of Rb6IrCl12, with properties calculated at the PBE level.

a b c (Å): 9.2731 9.2731 9.2731
angles (deg): 88.57 88.57 88.57
With the nearest neighbours (Å) after each atom.
Sites, in units of the cell vectors:
Cl (0.0172, 0.9788, 0.2506)  1 Ir 2.34
Rb (0.6645, 0.3087, 0.8269)  6 Cl 3.27-3.56
Cl (0.0212, 0.7494, 0.9828)  1 Ir 2.34
Rb (0.3355, 0.6913, 0.1731)  6 Cl 3.27-3.56
Rb (0.1731, 0.3355, 0.6913)  6 Cl 3.27-3.56
Cl (0.3945, 0.5409, 0.8605)  4 Rb 3.27-3.29, 1 Cl 3.34
Cl (0.5409, 0.8605, 0.3945)  4 Rb 3.27-3.29, 1 Cl 3.34
Cl (0.2506, 0.0172, 0.9788)  1 Ir 2.34
Rb (0.6913, 0.1731, 0.3355)  6 Cl 3.27-3.56
Cl (0.4591, 0.1395, 0.6055)  4 Rb 3.27-3.29, 1 Cl 3.34
Rb (0.8269, 0.6645, 0.3087)  6 Cl 3.27-3.56
Cl (0.8605, 0.3945, 0.5409)  4 Rb 3.27-3.29, 1 Cl 3.34
Cl (0.6055, 0.4591, 0.1395)  4 Rb 3.27-3.29, 1 Cl 3.34
Cl (0.9828, 0.0212, 0.7494)  1 Ir 2.34
Cl (0.1395, 0.6055, 0.4591)  4 Rb 3.27-3.29, 1 Cl 3.34
Rb (0.3087, 0.8269, 0.6645)  6 Cl 3.27-3.56
Cl (0.9788, 0.2506, 0.0172)  1 Ir 2.34
Cl (0.7494, 0.9828, 0.0212)  1 Ir 2.34
Ir (0.0000, 0.0000, 0.0000)  6 Cl 2.34

Values from the calculation:
Spin magnetization (μB per formula unit): 3.05
Uncorrected formation energy (eV/atom): -1.272

---

Below is a relaxed structure of La2TbPm6Dy, with properties calculated at the PBE level.

a b c (Å): 10.0973 8.8904 8.8904
angles (deg): 118.00 95.30 95.30
With the nearest neighbours (Å) after each atom.
Sites, in units of the cell vectors:
La (0.0405, 0.2903, 0.1921)  5 Pm 3.30-3.59, 2 Tb 3.39-3.45, 1 Dy 3.63
La (0.9595, 0.7097, 0.8079)  5 Pm 3.30-3.59, 2 Tb 3.39-3.45, 1 Dy 3.63
Pm (0.1214, 0.7045, 0.5004)  3 La 3.30-3.55, 4 Pm 3.35-3.61, 1 Dy 3.47
Pm (0.6890, 0.0203, 0.5817)  4 Pm 3.35-3.71, 1 La 3.45, 1 Dy 3.49, 1 Tb 3.64
Pm (0.6214, 0.5004, 0.7045)  3 La 3.30-3.55, 4 Pm 3.35-3.61, 1 Dy 3.47
Pm (0.3110, 0.9797, 0.4183)  4 Pm 3.35-3.71, 1 La 3.45, 1 Dy 3.49, 1 Tb 3.64
Tb (0.7500, 0.0122, 0.9878)  4 La 3.39-3.45, 4 Pm 3.64-3.66
Pm (0.8786, 0.2955, 0.4996)  3 La 3.30-3.55, 4 Pm 3.35-3.61, 1 Dy 3.47
Pm (0.8110, 0.4183, 0.9797)  4 Pm 3.35-3.71, 1 La 3.45, 1 Dy 3.49, 1 Tb 3.64
Pm (0.9436, 0.8773, 0.2592)  8 Pm 3.47-3.89, 1 La 3.59, 1 Tb 3.66, 1 Dy 3.79
Pm (0.0564, 0.1227, 0.7408)  8 Pm 3.47-3.89, 1 La 3.59, 1 Tb 3.66, 1 Dy 3.79
Pm (0.1890, 0.5817, 0.0203)  4 Pm 3.35-3.71, 1 La 3.45, 1 Dy 3.49, 1 Tb 3.64
La (0.4595, 0.8079, 0.7097)  5 Pm 3.30-3.59, 2 Tb 3.39-3.45, 1 Dy 3.63
Pm (0.5564, 0.7408, 0.1227)  8 Pm 3.47-3.89, 1 La 3.59, 1 Tb 3.66, 1 Dy 3.79
Pm (0.4436, 0.2592, 0.8773)  8 Pm 3.47-3.89, 1 La 3.59, 1 Tb 3.66, 1 Dy 3.79
La (0.5405, 0.1921, 0.2903)  5 Pm 3.30-3.59, 2 Tb 3.39-3.45, 1 Dy 3.63
Pm (0.3786, 0.4996, 0.2955)  3 La 3.30-3.55, 4 Pm 3.35-3.61, 1 Dy 3.47
Dy (0.2500, 0.4046, 0.5954)  8 Pm 3.47-3.79, 2 La 3.63
Dy (0.7500, 0.5954, 0.4046)  8 Pm 3.47-3.79, 2 La 3.63
Tb (0.2500, 0.9878, 0.0122)  4 La 3.39-3.45, 4 Pm 3.64-3.66

Values from the calculation:
Spin magnetization (μB per formula unit): 0.00
Energy relative to the elements (eV per formula unit): 1.1

---

Below is a relaxed structure of LiMnCoH2, with properties calculated at the PBE level.

a b c (Å): 3.4217 4.5909 3.4217
angles (deg): 90.00 90.00 90.00
With the nearest neighbours (Å) after each atom.
Sites, in units of the cell vectors:
Co (0.0000, 0.5000, 0.0000)  2 Mn 2.30, 4 Li 2.42
H (0.0000, 0.0000, 0.5000)  2 Mn 1.71
H (0.5000, 0.0000, 0.0000)  2 Mn 1.71
Mn (0.0000, 0.0000, 0.0000)  4 H 1.71
Li (0.5000, 0.5000, 0.5000)  4 Co 2.42

Values from the calculation:
Spin magnetization (μB per formula unit): 4.69
Calculated total energy (eV/atom): -4.47

---

Below is a relaxed structure of Pu3Pa2Pt4, with properties calculated at the PBE level.

a b c (Å): 4.8586 4.8583 8.9129
angles (deg): 89.98 90.00 120.00
With the nearest neighbours (Å) after each atom.
Sites, in units of the cell vectors:
Pt (0.0002, 0.0004, 0.3344)  4 Pt 2.95-3.03, 4 Pu 2.98-3.00
Pu (0.0000, 0.0000, 0.0000)  2 Pt 2.98, 6 Pa 3.06
Pu (0.6668, 0.3335, 0.4540)  1 Pa 2.82, 3 Pu 2.92, 4 Pt 3.00-3.03
Pt (0.9998, 0.9996, 0.6656)  4 Pt 2.95-3.03, 4 Pu 2.98-3.00
Pa (0.3331, 0.6662, 0.8627)  4 Pu 2.82-3.06, 4 Pt 2.87-3.06
Pt (0.3336, 0.6672, 0.2063)  4 Pa 2.87-3.06, 1 Pu 3.03, 3 Pt 3.03
Pa (0.6669, 0.3338, 0.1373)  4 Pu 2.82-3.06, 4 Pt 2.87-3.06
Pu (0.3332, 0.6665, 0.5460)  1 Pa 2.82, 3 Pu 2.92, 4 Pt 3.00-3.03
Pt (0.6664, 0.3328, 0.7937)  4 Pa 2.87-3.06, 1 Pu 3.03, 3 Pt 3.03

Values from the calculation:
Spin magnetization (μB per formula unit): 16.88
Energy relative to the elements (eV per formula unit): -6.2